# 1
Below is a geometry-optimized TaVGa2 structure, with properties calculated at the PBE level.

Cell lengths 4.578, 4.068, 5.044 Å; angles 118.32, 90.00, 124.24 degrees
Positions (direct):
Ta (0.500, 0.500, 0.000)
Ga (0.743, 0.986, 0.726)
Ga (0.257, 0.014, 0.274)
V (0.000, 0.500, 0.500)

Properties
Calculated formation energy ... 0.028 eV per atom
Distance to the lowest polymorph of the same formula ... 166 meV per atom
V ... 63.6 Å³ per cell
Total DFT energy (no corrections) ... -26.9 eV for the cell shown

# 2
Below is a geometry-optimized TaVGa2 structure, with properties calculated at the PBE level.

Cell lengths 6.980, 6.980, 5.633 Å; angles 51.72, 51.72, 90.00 degrees
Positions (direct):
V (0.500, 0.500, 0.000)
V (0.250, 0.750, 0.500)
Ta (0.000, 0.000, 0.000)
Ta (0.750, 0.250, 0.500)
Ga (0.875, 0.860, 0.750)
Ga (0.140, 0.625, 0.250)
Ga (0.375, 0.390, 0.750)
Ga (0.610, 0.125, 0.250)

Properties
Calculated formation energy ... 0.186 eV per atom
Distance to the lowest polymorph of the same formula ... 325 meV per atom
V ... 132.3 Å³ per cell
Total DFT energy (no corrections) ... -52.6 eV for the cell shown

# 3
Below is a geometry-optimized Ta12VGa6 structure, with properties calculated at the PBE level.

Cell lengths 6.894, 6.894, 6.894 Å; angles 89.56, 89.56, 89.56 degrees
Positions (direct):
Ga (0.880, 0.258, 0.736)
Ga (0.120, 0.742, 0.264)
Ga (0.258, 0.736, 0.880)
Ga (0.742, 0.264, 0.120)
Ga (0.736, 0.880, 0.258)
Ga (0.264, 0.120, 0.742)
Ta (0.811, 0.512, 0.427)
Ta (0.189, 0.488, 0.573)
Ta (0.626, 0.946, 0.858)
Ta (0.427, 0.811, 0.512)
Ta (0.054, 0.142, 0.374)
Ta (0.858, 0.626, 0.946)
Ta (0.142, 0.374, 0.054)
Ta (0.512, 0.427, 0.811)
Ta (0.573, 0.189, 0.488)
Ta (0.946, 0.858, 0.626)
Ta (0.488, 0.573, 0.189)
Ta (0.374, 0.054, 0.142)
V (0.000, 0.000, 0.000)

Properties
Calculated formation energy ... -0.028 eV per atom
V ... 327.7 Å³ per cell
Total DFT energy (no corrections) ... -170.0 eV for the cell shown

# 4
Below is a geometry-optimized Ta2V3Ga structure, with properties calculated at the PBE level.

Cell lengths 4.926, 4.926, 5.175 Å; angles 90.04, 118.40, 119.97 degrees
Positions (direct):
Ta (0.251, 0.625, 0.876)
Ta (0.749, 0.375, 0.124)
V (0.500, 0.500, 0.500)
V (0.000, 0.000, 0.500)
V (0.500, 0.000, 0.500)
Ga (0.000, 0.000, 0.000)

Properties
Calculated formation energy ... -0.151 eV per atom
V ... 90.9 Å³ per cell
Total DFT energy (no corrections) ... -55.0 eV for the cell shown

# 5
Below is a geometry-optimized Ta6VGa structure, with properties calculated at the PBE level.

Cell lengths 7.328, 7.331, 5.183 Å; angles 45.03, 45.05, 60.04 degrees
Positions (direct):
Ta (0.999, 0.499, 0.748)
Ta (0.500, 0.754, 0.747)
Ta (0.753, 0.000, 0.747)
Ta (0.001, 0.501, 0.252)
Ta (0.500, 0.246, 0.253)
Ta (0.247, 0.000, 0.253)
V (0.000, 0.000, 0.000)
Ga (0.500, 0.500, 0.500)

Properties
Calculated formation energy ... -0.059 eV per atom
V ... 139.4 Å³ per cell
Total DFT energy (no corrections) ... -83.7 eV for the cell shown

# 6
Below is a geometry-optimized Ta3VGa structure, with properties calculated at the PBE level.

Cell lengths 4.635, 4.635, 4.635 Å; angles 90.00, 90.00, 90.00 degrees
Positions (direct):
Ta (0.000, 0.000, 0.500)
Ta (0.000, 0.500, 0.000)
Ta (0.500, 0.000, 0.000)
Ga (0.500, 0.500, 0.500)
V (0.000, 0.000, 0.000)

Properties
Calculated formation energy ... 1.109 eV per atom
Distance to the lowest polymorph of the same formula ... 0 meV per atom
V ... 99.6 Å³ per cell
Total DFT energy (no corrections) ... -42.2 eV for the cell shown